No. 1
# Li2Ag | the Alexandria database | PBE | optimized geometry
# ρ, kg/m³: 4102
# Energy, eV/atom: -2.3912
# Total magnetic moment, μB/cell: 0.0
# E_form, eV per atom: -0.16
data_Li2Ag
_chemical_formula_sum 'Li4 Ag2'
_symmetry_space_group_name_H-M 'P 1'
_symmetry_Int_Tables_number 1
_cell_length_a 7.337
_cell_length_b 7.337
_cell_length_c 4.603
_cell_angle_alpha 90.00
_cell_angle_beta 90.00
_cell_angle_gamma 156.56
loop_
_symmetry_equiv_pos_as_xyz
'x,y,z'
loop_
_atom_site_label
_atom_site_type_symbol
_atom_site_fract_x
_atom_site_fract_y
_atom_site_fract_z
_atom_site_occupancy
Ag1 Ag 0.666 0.334 0.000 1
Ag2 Ag 0.445 0.555 0.500 1
Li1 Li 0.000 0.000 0.000 1
Li2 Li 0.330 0.670 0.000 1
Li3 Li 0.781 0.219 0.500 1
Li4 Li 0.111 0.889 0.500 1

---

No. 2
# Li2Ag | the Alexandria database | PBE | optimized geometry
# ρ, kg/m³: 4082
# Energy, eV/atom: -2.3992
# Total magnetic moment, μB/cell: 0.0
# E_form, eV per atom: -0.17
data_Li2Ag
_chemical_formula_sum 'Li8 Ag4'
_symmetry_space_group_name_H-M 'P 1'
_symmetry_Int_Tables_number 1
_cell_length_a 4.222
_cell_length_b 5.636
_cell_length_c 8.326
_cell_angle_alpha 90.00
_cell_angle_beta 90.00
_cell_angle_gamma 90.00
loop_
_symmetry_equiv_pos_as_xyz
'x,y,z'
loop_
_atom_site_label
_atom_site_type_symbol
_atom_site_fract_x
_atom_site_fract_y
_atom_site_fract_z
_atom_site_occupancy
Ag1 Ag 0.250 0.645 0.412 1
Ag2 Ag 0.750 0.855 0.912 1
Ag3 Ag 0.250 0.145 0.088 1
Ag4 Ag 0.750 0.355 0.588 1
Li1 Li 0.250 0.098 0.757 1
Li2 Li 0.750 0.402 0.257 1
Li3 Li 0.250 0.598 0.743 1
Li4 Li 0.750 0.902 0.243 1
Li5 Li 0.250 0.150 0.422 1
Li6 Li 0.750 0.350 0.922 1
Li7 Li 0.250 0.650 0.078 1
Li8 Li 0.750 0.850 0.578 1

---

No. 3
# Li6Ag | the Alexandria database | PBE | optimized geometry
# ρ, kg/m³: 1673
# Energy, eV/atom: -1.5128
# Total magnetic moment, μB/cell: 0.0
# Polymorph energy (0 for the lowest one), meV per atom: 611.1
# E_form, eV per atom: 0.53
data_Li6Ag
_chemical_formula_sum 'Li6 Ag1'
_symmetry_space_group_name_H-M 'P 1'
_symmetry_Int_Tables_number 1
_cell_length_a 5.777
_cell_length_b 5.777
_cell_length_c 5.777
_cell_angle_alpha 109.47
_cell_angle_beta 109.47
_cell_angle_gamma 109.47
loop_
_symmetry_equiv_pos_as_xyz
'x,y,z'
loop_
_atom_site_label
_atom_site_type_symbol
_atom_site_fract_x
_atom_site_fract_y
_atom_site_fract_z
_atom_site_occupancy
Li1 Li 0.250 0.750 0.500 1
Li2 Li 0.500 0.750 0.250 1
Li3 Li 0.250 0.500 0.750 1
Li4 Li 0.750 0.250 0.500 1
Li5 Li 0.500 0.250 0.750 1
Li6 Li 0.750 0.500 0.250 1
Ag1 Ag 0.000 0.000 0.000 1

---

The highest E_form belongs to which entry? Li6Ag

---

What is the total magnetic moment in the second record? 0.0 μB/cell

---

Copy entry 1 word for word.
# Li2Ag | the Alexandria database | PBE | optimized geometry
# ρ, kg/m³: 4102
# Energy, eV/atom: -2.3912
# Total magnetic moment, μB/cell: 0.0
# E_form, eV per atom: -0.16
data_Li2Ag
_chemical_formula_sum 'Li4 Ag2'
_symmetry_space_group_name_H-M 'P 1'
_symmetry_Int_Tables_number 1
_cell_length_a 7.337
_cell_length_b 7.337
_cell_length_c 4.603
_cell_angle_alpha 90.00
_cell_angle_beta 90.00
_cell_angle_gamma 156.56
loop_
_symmetry_equiv_pos_as_xyz
'x,y,z'
loop_
_atom_site_label
_atom_site_type_symbol
_atom_site_fract_x
_atom_site_fract_y
_atom_site_fract_z
_atom_site_occupancy
Ag1 Ag 0.666 0.334 0.000 1
Ag2 Ag 0.445 0.555 0.500 1
Li1 Li 0.000 0.000 0.000 1
Li2 Li 0.330 0.670 0.000 1
Li3 Li 0.781 0.219 0.500 1
Li4 Li 0.111 0.889 0.500 1

---

Which formula does entry 1 have? Li2Ag